(1)
Compound: HfPd2Au
Source: the Alexandria database
Functional: GGA-PBEsol
Structure: optimized geometry

Summary:
The value obtained for the energy is -28.905 eV for the cell shown. The value obtained for the density of states at the Fermi level is 2.78 states/eV/f.u. The total magnetization comes out at 0.00 μB/f.u.

Lattice parameters (Å, degrees): 4.5205 4.5205 4.5205 60.00 60.00 60.00
Positions (direct):
Hf (0.0000, 0.0000, 0.0000)
Pd (0.2500, 0.2500, 0.2500)
Pd (0.7500, 0.7500, 0.7500)
Au (0.5000, 0.5000, 0.5000)

(2)
Compound: HfPtAu3
Source: the Alexandria database
Functional: GGA-PBEsol
Structure: optimized geometry

Summary:
The value obtained for the energy is -24.401 eV for the cell shown. The value obtained for the density of states at the Fermi level is 5.81 states/eV/f.u. The value obtained for the excess energy over the best structure of this formula in the dataset is 0.000 eV per atom. The total magnetization comes out at 0.31 μB/f.u.

Lattice parameters (Å, degrees): 4.8874 4.8874 4.8874 90.00 90.00 90.00
Positions (direct):
Hf (0.0000, 0.0000, 0.0000)
Pt (0.5000, 0.5000, 0.5000)
Au (0.0000, 0.5000, 0.5000)
Au (0.5000, 0.0000, 0.5000)
Au (0.5000, 0.5000, 0.0000)